Entry from Alexandria: a relaxed structure of BaNb8O14 (PBE).

## Properties
SG: Cmc2_1
Uncorrected formation energy in eV/atom: -2.449
Total magnetization in μB/atom: 0.000

Geometry as POSCAR:
```
BaNb8O14
1.0
-7.191 -10.190 -4.064
10.740 5.805 -4.798
5.510 -5.941 5.146
Nb O Ba
32 56 4
direct
0.291 0.539 0.882
0.409 0.409 0.616
0.318 0.811 0.137
0.396 0.263 0.124
0.243 0.109 0.875
0.506 0.141 0.122
0.210 0.969 0.118
0.008 0.643 0.375
0.604 0.737 0.624
0.709 0.461 0.382
0.189 0.682 0.637
0.263 0.396 0.124
0.811 0.318 0.137
0.031 0.790 0.618
0.737 0.604 0.624
0.969 0.210 0.118
0.682 0.189 0.637
0.992 0.357 0.875
0.790 0.031 0.618
0.357 0.992 0.875
0.087 0.087 0.382
0.591 0.591 0.116
0.461 0.709 0.382
0.141 0.506 0.122
0.539 0.291 0.882
0.913 0.913 0.882
0.109 0.243 0.875
0.643 0.008 0.375
0.757 0.891 0.375
0.891 0.757 0.375
0.494 0.859 0.622
0.859 0.494 0.622
0.015 0.521 0.511
0.722 0.472 0.759
0.105 0.228 0.258
0.201 0.823 0.006
0.528 0.152 0.749
0.160 0.664 0.244
0.968 0.217 0.743
0.152 0.528 0.749
0.432 0.432 0.229
0.472 0.848 0.249
0.799 0.177 0.506
0.772 0.895 0.758
0.751 0.751 0.003
0.688 0.315 0.509
0.228 0.105 0.258
0.217 0.968 0.743
0.177 0.799 0.506
0.848 0.472 0.249
0.251 0.251 0.999
0.278 0.528 0.259
0.315 0.688 0.509
0.528 0.278 0.259
0.967 0.344 0.241
0.032 0.783 0.243
0.940 0.066 0.491
0.433 0.560 0.507
0.070 0.070 0.770
0.033 0.656 0.741
0.725 0.599 0.245
0.567 0.440 0.007
0.440 0.567 0.007
0.930 0.930 0.270
0.823 0.201 0.006
0.934 0.060 0.991
0.985 0.479 0.011
0.344 0.967 0.241
0.656 0.033 0.741
0.568 0.568 0.729
0.749 0.749 0.499
0.895 0.772 0.758
0.275 0.401 0.745
0.249 0.249 0.503
0.664 0.160 0.244
0.783 0.032 0.243
0.599 0.725 0.245
0.521 0.015 0.511
0.060 0.934 0.991
0.840 0.336 0.744
0.401 0.275 0.745
0.312 0.685 0.009
0.560 0.433 0.507
0.479 0.985 0.011
0.472 0.722 0.759
0.685 0.312 0.009
0.066 0.940 0.491
0.336 0.840 0.744
0.372 0.100 0.492
0.100 0.372 0.492
0.628 0.900 0.992
0.900 0.628 0.992
```